(1)
A plane-wave DFT calculation with PBE-GGA was carried out for a geometry-optimized BaCaTa2 structure.

Properties
The value obtained for the energy of formation is 1.605 eV/atom. For the total energy, the calculation gives -21.21 eV/cell. As for the space group: Fm-3m (225).

a = 5.347 Å, b = 5.347 Å, c = 5.347 Å
α = 60.00°, β = 60.00°, γ = 60.00°
Fractional coordinates of all 4 atoms:
1 Ca 0.000 0.000 0.000
2 Ba 0.500 0.500 0.500
3 Ta 0.250 0.250 0.250
4 Ta 0.750 0.750 0.750

=====

(2)
A plane-wave DFT calculation with PBE-GGA was carried out for a geometry-optimized Ba4CaTa structure.

Properties
The value obtained for the energy of formation is 1.003 eV/atom. For the total energy, the calculation gives -15.53 eV/cell. As for the space group: F-43m (216).

a = 7.356 Å, b = 7.356 Å, c = 7.356 Å
α = 60.00°, β = 60.00°, γ = 60.00°
Fractional coordinates of all 6 atoms:
1 Ba 0.879 0.374 0.374
2 Ba 0.374 0.374 0.879
3 Ba 0.374 0.879 0.374
4 Ba 0.374 0.374 0.374
5 Ca 0.750 0.750 0.750
6 Ta 0.000 0.000 0.000

=====

(3)
A plane-wave DFT calculation with PBE-GGA was carried out for a geometry-optimized BaCaTa4 structure.

Properties
The value obtained for the energy of formation is 0.799 eV/atom. For the total energy, the calculation gives -46.54 eV/cell. As for the space group: F-43m (216).

a = 5.899 Å, b = 5.899 Å, c = 5.899 Å
α = 60.00°, β = 60.00°, γ = 60.00°
Fractional coordinates of all 6 atoms:
1 Ba 0.750 0.750 0.750
2 Ca 0.000 0.000 0.000
3 Ta 0.889 0.370 0.370
4 Ta 0.370 0.370 0.889
5 Ta 0.370 0.889 0.370
6 Ta 0.370 0.370 0.370

=====

(4)
A plane-wave DFT calculation with PBE-GGA was carried out for a geometry-optimized BaCaTa2 structure.

Properties
The value obtained for the energy of formation is 0.965 eV/atom. For the total energy, the calculation gives -23.77 eV/cell. As for the space group: P2/m (10).

a = 5.634 Å, b = 3.100 Å, c = 7.022 Å
α = 78.97°, β = 90.00°, γ = 90.00°
Fractional coordinates of all 4 atoms:
1 Ca 0.500 0.750 0.750
2 Ba 0.500 0.250 0.250
3 Ta 0.000 0.978 0.909
4 Ta 0.000 0.522 0.591

=====

(5)
A plane-wave DFT calculation with PBE-GGA was carried out for a geometry-optimized BaCaTa structure.

Properties
The value obtained for the energy of formation is 1.034 eV/atom. For the total energy, the calculation gives -12.68 eV/cell. As for the space group: Imm2 (44).

a = 6.090 Å, b = 6.090 Å, c = 6.090 Å
α = 149.39°, β = 127.42°, γ = 62.08°
Fractional coordinates of all 3 atoms:
1 Ca 0.674 0.674 0.000
2 Ba 0.995 0.995 0.000
3 Ta 0.331 0.331 0.000

=====

(6)
A plane-wave DFT calculation with PBE-GGA was carried out for a geometry-optimized BaCaTa2 structure.

Properties
The value obtained for the energy of formation is 1.638 eV/atom. For the total energy, the calculation gives -42.15 eV/cell. As for the space group: I-42d (122).

a = 8.778 Å, b = 8.778 Å, c = 6.849 Å
α = 50.15°, β = 50.15°, γ = 90.00°
Fractional coordinates of all 8 atoms:
1 Ca 0.500 0.500 0.000
2 Ca 0.250 0.750 0.500
3 Ba 0.000 0.000 0.000
4 Ba 0.750 0.250 0.500
5 Ta 0.622 0.125 0.250
6 Ta 0.128 0.625 0.250
7 Ta 0.375 0.378 0.750
8 Ta 0.875 0.872 0.750

=====

(7)
A plane-wave DFT calculation with PBE-GGA was carried out for a geometry-optimized BaCaTa2 structure.

Properties
The value obtained for the energy of formation is 0.698 eV/atom. For the total energy, the calculation gives -24.84 eV/cell. As for the space group: Cmm2 (35).

a = 3.249 Å, b = 3.249 Å, c = 11.116 Å
α = 90.00°, β = 90.00°, γ = 108.55°
Fractional coordinates of all 4 atoms:
1 Ca 0.500 0.500 0.798
2 Ba 0.000 0.000 0.467
3 Ta 0.000 0.000 0.033
4 Ta 0.500 0.500 0.201

=====

(8)
A plane-wave DFT calculation with PBE-GGA was carried out for a geometry-optimized BaCaTa2 structure.

Properties
The value obtained for the energy of formation is 0.496 eV/atom. For the total energy, the calculation gives -25.65 eV/cell. As for the space group: P4mm (99).

a = 3.628 Å, b = 3.628 Å, c = 9.360 Å
α = 90.00°, β = 90.00°, γ = 90.00°
Fractional coordinates of all 4 atoms:
1 Ca 0.500 0.500 0.826
2 Ba 0.000 0.000 0.443
3 Ta 0.000 0.000 0.061
4 Ta 0.500 0.500 0.169

=====

(9)
A plane-wave DFT calculation with PBE-GGA was carried out for a geometry-optimized BaCaTa2 structure.

Properties
The value obtained for the energy of formation is 1.474 eV/atom. For the total energy, the calculation gives -21.73 eV/cell. As for the space group: P4/mmm (123).

a = 5.801 Å, b = 5.801 Å, c = 3.128 Å
α = 90.00°, β = 90.00°, γ = 90.00°
Fractional coordinates of all 4 atoms:
1 Ca 0.000 0.500 0.500
2 Ba 0.500 0.000 0.500
3 Ta 0.000 0.000 0.000
4 Ta 0.500 0.500 0.000

=====

(10)
A plane-wave DFT calculation with PBE-GGA was carried out for a geometry-optimized BaCaTa2 structure.

Properties
The value obtained for the energy of formation is 1.124 eV/atom. For the total energy, the calculation gives -23.13 eV/cell. As for the space group: R-3m (166).

a = 12.018 Å, b = 12.018 Å, c = 12.018 Å
α = 15.04°, β = 15.04°, γ = 15.04°
Fractional coordinates of all 4 atoms:
1 Ca 0.750 0.750 0.750
2 Ba 0.250 0.250 0.250
3 Ta 0.005 0.005 0.005
4 Ta 0.495 0.495 0.495

=====

(11)
A plane-wave DFT calculation with PBE-GGA was carried out for a geometry-optimized BaCaTa3 structure.

Properties
The value obtained for the energy of formation is 2.407 eV/atom. For the total energy, the calculation gives -27.45 eV/cell. As for the space group: Pm-3m (221).

a = 5.136 Å, b = 5.136 Å, c = 5.136 Å
α = 90.00°, β = 90.00°, γ = 90.00°
Fractional coordinates of all 5 atoms:
1 Ca 0.000 0.000 0.000
2 Ba 0.500 0.500 0.500
3 Ta 0.000 0.500 0.000
4 Ta 0.000 0.000 0.500
5 Ta 0.500 0.000 0.000

=====

(12)
A plane-wave DFT calculation with PBE-GGA was carried out for a geometry-optimized BaCa3Ta structure.

Properties
The value obtained for the energy of formation is 1.831 eV/atom. For the total energy, the calculation gives -10.62 eV/cell. As for the space group: Pm-3m (221).

a = 5.620 Å, b = 5.620 Å, c = 5.620 Å
α = 90.00°, β = 90.00°, γ = 90.00°
Fractional coordinates of all 5 atoms:
1 Ca 0.000 0.500 0.000
2 Ca 0.000 0.000 0.500
3 Ca 0.500 0.000 0.000
4 Ba 0.000 0.000 0.000
5 Ta 0.500 0.500 0.500